KPuPb2I8: optimized geometry, GGA-PBE.

```
KPuPb2I8
1.0
-1.370 0.097 7.714
0.392 -7.436 0.269
9.536 0.561 1.688
K Pu Pb I
1 1 2 8
direct
0.000 0.000 0.500
0.000 0.000 0.000
0.500 0.500 0.749
0.500 0.500 0.251
0.153 0.748 0.223
0.672 0.761 0.000
0.847 0.252 0.223
0.847 0.252 0.777
0.328 0.239 0.000
0.153 0.748 0.777
0.635 0.736 0.500
0.365 0.264 0.500
```

Properties
crystal system = monoclinic
ΔE_f (raw) = -0.887 eV/atom